(1)
This record from the Alexandria database describes a geometry-optimized SrTcSeN2 structure. The functional is GGA-PBE.

a b c (Å): 4.6692 4.6692 6.0443
angles (deg): 90.00 90.00 90.00
Fractional positions:
Sr 0.0000 0.0000 0.0000
Tc 0.5000 0.5000 0.5000
Se 0.0000 0.0000 0.5000
N 0.0000 0.5000 0.0000
N 0.5000 0.0000 0.0000

Output
Energy relative to the lowest polymorph listed for this composition ... 2.119 eV per atom
Symmetry ... P4/mmm

=====

(2)
This record from the Alexandria database describes a geometry-optimized Ag4IrO5 structure. The functional is GGA-PBE.

a b c (Å): 5.7973 5.7973 5.7973
angles (deg): 104.84 104.84 119.20
Fractional positions:
Ag 0.0000 0.2827 0.2827
Ag 0.0000 0.7173 0.7173
Ag 0.2827 0.0000 0.2827
Ag 0.7173 0.0000 0.7173
Ir 0.5705 0.5705 0.0000
O 0.2487 0.2487 0.0000
O 0.3405 0.6130 0.7275
O 0.6130 0.3405 0.7275
O 0.6130 0.8855 0.2725
O 0.8855 0.6130 0.2725

Output
Symmetry ... I4mm

=====

These records have formation energy from raw total energies values of 1.941, -0.147 eV per atom, in the order they appear.
These records have VASP energy values of -4.496, -4.652 eV per atom, in the order they appear.